ScZn2CdRh: optimized geometry, GGA-PBE.

a = 4.955 Å, b = 5.330 Å, c = 4.955 Å
α = 90.00°, β = 90.00°, γ = 90.00°
Positions (direct):
Sc: 0.000 0.000 0.000
Zn: 0.000 0.000 0.500
Zn: 0.500 0.000 0.000
Rh: 0.500 0.500 0.500
Cd: 0.000 0.500 0.000

Results
DFT total energy: -10.81 eV/cell
Symmetry: P4/mmm (123)
Formation energy: 1.267 eV per atom